The following is a PBE calculation of crystalline YErAsBr2 at its relaxed geometry, from OQMD.

Output
The total energy comes out at -5.49 eV per atom. Its symmetry is No. 156.

Cell: 4.0430 4.0430 9.9021 Å, 90.00 90.00 120.00°
Positions (direct):
As 0.0000 0.0000 0.4970
Br 0.6667 0.3333 0.1627
Br 0.3333 0.6667 0.8405
Er 0.3333 0.6667 0.3414
Y 0.6667 0.3333 0.6584

The following is a PBE calculation of crystalline Ta2Ni3S8 at its relaxed geometry, from OQMD.

Output
The total energy comes out at -6.38 eV per atom. Its symmetry is No. 55.

Cell: 14.1600 10.1248 3.3416 Å, 90.00 90.00 90.00°
Positions (direct):
Ni 0.0000 0.0000 0.0000
Ni 0.7252 0.1298 0.0000
Ni 0.2252 0.3702 0.0000
Ni 0.5000 0.5000 0.0000
Ni 0.7748 0.6298 0.0000
Ni 0.2748 0.8702 0.0000
S 0.1552 0.0275 0.0000
S 0.9914 0.2188 0.0000
S 0.4914 0.2812 0.0000
S 0.6552 0.4725 0.0000
S 0.3448 0.5275 0.0000
S 0.5086 0.7188 0.0000
S 0.0086 0.7812 0.0000
S 0.8448 0.9725 0.0000
S 0.6316 0.0586 0.5000
S 0.2857 0.2482 0.5000
S 0.7857 0.2518 0.5000
S 0.1316 0.4414 0.5000
S 0.8684 0.5586 0.5000
S 0.2143 0.7482 0.5000
S 0.7143 0.7518 0.5000
S 0.3684 0.9414 0.5000
Ta 0.1186 0.2019 0.5000
Ta 0.6186 0.2981 0.5000
Ta 0.3814 0.7019 0.5000
Ta 0.8814 0.7981 0.5000

The following is a PBE calculation of crystalline TmMgAgSeS2 at its relaxed geometry, from OQMD.

Output
The total energy comes out at -4.56 eV per atom. Its symmetry is No. 63.

Cell: 6.6878 6.6878 10.6594 Å, 90.00 90.00 147.21°
Positions (direct):
Ag 0.0163 0.9837 0.2500
Ag 0.9837 0.0163 0.7500
Mg 0.7184 0.2816 0.2500
Mg 0.2816 0.7184 0.7500
S 0.1393 0.8607 0.0711
S 0.1393 0.8607 0.4289
S 0.8607 0.1393 0.5711
S 0.8607 0.1393 0.9289
Se 0.3731 0.6269 0.2500
Se 0.6269 0.3731 0.7500
Tm 0.5000 0.5000 0.0000
Tm 0.5000 0.5000 0.5000

The following is a PBE calculation of crystalline LiTe3PtAu at its relaxed geometry, from OQMD.

Output
The total energy comes out at -3.79 eV per atom. Its symmetry is No. 63.

Cell: 3.9314 10.9827 7.2440 Å, 90.00 105.74 90.00°
Positions (direct):
Au 0.6540 0.0000 0.3080
Au 0.3460 0.5000 0.6920
Li 0.7068 0.5000 0.4136
Li 0.2932 0.0000 0.5864
Pt 0.0000 0.2500 0.0000
Pt 0.0000 0.7500 0.0000
Te 0.0524 0.5000 0.1049
Te 0.6317 0.2377 0.2634
Te 0.6317 0.7623 0.2634
Te 0.3683 0.2623 0.7366
Te 0.3683 0.7377 0.7366
Te 0.9475 0.0000 0.8951

The following is a PBE calculation of crystalline Er2As2O5 at its relaxed geometry, from OQMD.

Output
Its symmetry is No. 123. The energy above the lowest structure with this stoichiometry is 234 meV per atom.

Cell: 6.7199 4.0927 4.0927 Å, 90.00 90.00 90.00°
Positions (direct):
As 0.2078 0.5000 0.5000
As 0.7922 0.5000 0.5000
Er 0.0000 0.0000 0.0000
Er 0.5000 0.0000 0.0000
O 0.2333 0.5000 0.0000
O 0.7667 0.5000 0.0000
O 0.2333 0.0000 0.5000
O 0.7667 0.0000 0.5000
O 0.5000 0.5000 0.5000

The following is a PBE calculation of crystalline GdCoSn at its relaxed geometry, from OQMD.

Output
The total energy comes out at -4.77 eV per atom. Its symmetry is No. 216.

Cell: 4.8295 4.8295 4.8295 Å, 60.00 60.00 60.00°
Positions (direct):
Co 0.2500 0.2500 0.2500
Gd 0.0000 0.0000 0.0000
Sn 0.7500 0.7500 0.7500

The following is a PBE calculation of crystalline Pr2SmBi3 at its relaxed geometry, from OQMD.

Output
The total energy comes out at -5.37 eV per atom. Its symmetry is No. 164.

Cell: 4.5878 4.5878 11.2870 Å, 90.00 90.00 120.00°
Positions (direct):
Bi 0.0000 0.0000 0.0000
Bi 0.3333 0.6667 0.3378
Bi 0.6667 0.3333 0.6622
Pr 0.6667 0.3333 0.1690
Pr 0.3333 0.6667 0.8310
Sm 0.0000 0.0000 0.5000

The following is a PBE calculation of crystalline Cs2Pa2S5 at its relaxed geometry, from OQMD.

Output
The total energy comes out at -6.16 eV per atom. Its symmetry is No. 64.

Cell: 9.3230 9.3230 7.6837 Å, 90.00 90.00 48.65°
Positions (direct):
Cs 0.2934 0.2934 0.0000
Cs 0.7066 0.7066 0.0000
Cs 0.2066 0.2066 0.5000
Cs 0.7934 0.7934 0.5000
Pa 0.8388 0.1612 0.1613
Pa 0.3388 0.6612 0.3387
Pa 0.6612 0.3388 0.6613
Pa 0.1612 0.8388 0.8387
S 0.5000 0.5000 0.0000
S 0.0429 0.7558 0.1433
S 0.2442 0.9571 0.1433
S 0.5429 0.2558 0.3567
S 0.7442 0.4571 0.3567
S 0.0000 0.0000 0.5000
S 0.2558 0.5429 0.6433
S 0.4571 0.7442 0.6433
S 0.7558 0.0429 0.8567
S 0.9571 0.2442 0.8567

The following is a PBE calculation of crystalline NdClO at its relaxed geometry, from OQMD.

Output
The total energy comes out at -6.89 eV per atom. Its symmetry is No. 129.

Cell: 4.0438 4.0438 6.7846 Å, 90.00 90.00 90.00°
Positions (direct):
Cl 0.0000 0.0000 0.3728
Cl 0.5000 0.5000 0.6265
Nd 0.5000 0.5000 0.1754
Nd 0.0000 0.0000 0.8250
O 0.5000 0.0000 0.0001
O 0.0000 0.5000 0.0001

The following is a PBE calculation of crystalline LuZrAs at its relaxed geometry, from OQMD.

Output
Its symmetry is No. 216. The energy above the lowest structure with this stoichiometry is 0 meV per atom.

Cell: 4.6195 4.6195 4.6195 Å, 60.00 60.00 60.00°
Positions (direct):
As 0.0000 0.0000 0.0000
Lu 0.2500 0.2500 0.2500
Zr 0.7500 0.7500 0.7500

The following is a PBE calculation of crystalline LiMgZnPb at its relaxed geometry, from OQMD.

Output
Its symmetry is No. 216. The energy above the lowest structure with this stoichiometry is 0 meV per atom.

Cell: 4.8557 4.8557 4.8557 Å, 60.00 60.00 60.00°
Positions (direct):
Li 0.0000 0.0000 0.0000
Mg 0.5000 0.5000 0.5000
Pb 0.2500 0.2500 0.2500
Zn 0.7500 0.7500 0.7500

The following is a PBE calculation of crystalline UCo5 at its relaxed geometry, from OQMD.

Output
Its formation energy from the elements is -0.07 eV per atom. Its symmetry is No. 166.

Cell: 12.2009 12.2009 12.2009 Å, 22.40 22.40 22.40°
Positions (direct):
Co 0.5000 0.0000 0.0000
Co 0.0000 0.5000 0.0000
Co 0.5542 0.5542 0.0626
Co 0.2214 0.2214 0.2214
Co 0.3325 0.3325 0.3325
Co 0.9374 0.4458 0.4458
Co 0.4458 0.9374 0.4458
Co 0.4641 0.4641 0.4641
Co 0.0000 0.0000 0.5000
Co 0.5359 0.5359 0.5359
Co 0.5542 0.0626 0.5542
Co 0.0626 0.5542 0.5542
Co 0.6675 0.6675 0.6675
Co 0.7786 0.7786 0.7786
Co 0.4458 0.4458 0.9374
U 0.0000 0.0000 0.0000
U 0.0994 0.0994 0.0994
U 0.9006 0.9006 0.9006

The following is a PBE calculation of crystalline NaGdBe at its relaxed geometry, from OQMD.

Output
Its symmetry is No. 216. The energy above the lowest structure with this stoichiometry is 0 meV per atom.

Cell: 4.7398 4.7398 4.7398 Å, 60.00 60.00 60.00°
Positions (direct):
Be 0.0000 0.0000 0.0000
Gd 0.2500 0.2500 0.2500
Na 0.7500 0.7500 0.7500

The following is a PBE calculation of crystalline InGaIr at its relaxed geometry, from OQMD.

Output
The total energy comes out at -4.75 eV per atom. Its symmetry is No. 216.

Cell: 4.3142 4.3142 4.3142 Å, 60.00 60.00 60.00°
Positions (direct):
Ga 0.0000 0.0000 0.0000
In 0.2500 0.2500 0.2500
Ir 0.7500 0.7500 0.7500

The following is a PBE calculation of crystalline KGdHoNi2 at its relaxed geometry, from OQMD.

Output
The total energy comes out at -4.45 eV per atom. Its symmetry is No. 38.

Cell: 3.7063 9.1684 9.1684 Å, 25.50 90.00 90.00°
Positions (direct):
Gd 0.0000 0.6688 0.6688
Ho 0.0000 0.3299 0.3299
K 0.5000 0.9982 0.9982
Ni 0.5000 0.2097 0.2097
Ni 0.5000 0.7934 0.7934

The following is a PBE calculation of crystalline GdErHf at its relaxed geometry, from OQMD.

Output
Its formation energy from the elements is 0.86 eV per atom. Its symmetry is No. 216. The energy above the lowest structure with this stoichiometry is 0 meV per atom.

Cell: 5.1745 5.1745 5.1745 Å, 60.00 60.00 60.00°
Positions (direct):
Er 0.2500 0.2500 0.2500
Gd 0.7500 0.7500 0.7500
Hf 0.0000 0.0000 0.0000

The following is a PBE calculation of crystalline DyTmGa4Pt2 at its relaxed geometry, from OQMD.

Output
The total energy comes out at -5.09 eV per atom. Its symmetry is No. 38.

Cell: 6.7164 5.5081 5.5081 Å, 46.54 90.00 90.00°
Positions (direct):
Dy 0.0000 0.0831 0.0831
Ga 0.1986 0.3703 0.3703
Ga 0.8014 0.3703 0.3703
Ga 0.3029 0.6304 0.6304
Ga 0.6971 0.6304 0.6304
Pt 0.5000 0.2049 0.2049
Pt 0.0000 0.7946 0.7946
Tm 0.5000 0.9161 0.9161

The following is a PBE calculation of crystalline SmTm at its relaxed geometry, from OQMD.

Output
Its formation energy from the elements is 0.02 eV per atom. Its symmetry is No. 187. The energy above the lowest structure with this stoichiometry is 24 meV per atom.

Cell: 3.6016 3.6016 5.6704 Å, 90.00 90.00 120.00°
Positions (direct):
Sm 0.6667 0.3333 0.7500
Tm 0.3333 0.6667 0.2500

The following is a PBE calculation of crystalline MgAl2CoCu4 at its relaxed geometry, from OQMD.

Output
Its symmetry is No. 141. The energy above the lowest structure with this stoichiometry is 0 meV per atom.

Cell: 7.2345 7.2345 7.2345 Å, 131.98 131.98 70.26°
Positions (direct):
Al 0.5023 0.5023 0.0000
Al 0.9977 0.9977 0.0000
Al 0.7523 0.2523 0.5000
Al 0.2477 0.7477 0.5000
Co 0.2500 0.2500 0.0000
Co 0.5000 0.0000 0.5000
Cu 0.1385 0.6250 0.0135
Cu 0.3750 0.8885 0.0135
Cu 0.3750 0.3615 0.4865
Cu 0.6115 0.6250 0.4865
Cu 0.1385 0.1250 0.5135
Cu 0.8750 0.8885 0.5135
Cu 0.6115 0.1250 0.9865
Cu 0.8750 0.3615 0.9865
Mg 0.7500 0.7500 0.0000
Mg 0.0000 0.5000 0.5000

The following is a PBE calculation of crystalline Zr5Ga4 at its relaxed geometry, from OQMD.

Output
The total energy comes out at -6.65 eV per atom. Its symmetry is No. 193.

Cell: 8.4006 8.4006 5.7490 Å, 90.00 90.00 120.00°
Positions (direct):
Ga 0.0000 0.0000 0.0000
Ga 0.6213 0.0000 0.2500
Ga 0.3787 0.3787 0.2500
Ga 0.0000 0.6213 0.2500
Ga 0.0000 0.0000 0.5000
Ga 0.3787 0.0000 0.7500
Ga 0.0000 0.3787 0.7500
Ga 0.6213 0.6213 0.7500
Zr 0.6667 0.3333 0.0000
Zr 0.3333 0.6667 0.0000
Zr 0.2775 0.0000 0.2500
Zr 0.0000 0.2775 0.2500
Zr 0.7225 0.7225 0.2500
Zr 0.6667 0.3333 0.5000
Zr 0.3333 0.6667 0.5000
Zr 0.7225 0.0000 0.7500
Zr 0.2775 0.2775 0.7500
Zr 0.0000 0.7225 0.7500

The following is a PBE calculation of crystalline Tb2PmHg5 at its relaxed geometry, from OQMD.

Output
Its formation energy from the elements is -0.45 eV per atom. Its symmetry is No. 139.

Cell: 8.2189 8.2189 8.2189 Å, 142.87 142.87 53.52°
Positions (direct):
Hg 0.5000 0.5000 0.0000
Hg 0.6265 0.1265 0.5000
Hg 0.8735 0.3735 0.5000
Hg 0.1265 0.6265 0.5000
Hg 0.3735 0.8735 0.5000
Pm 0.0000 0.0000 0.0000
Tb 0.2670 0.2670 0.0000
Tb 0.7330 0.7330 0.0000

The following is a PBE calculation of crystalline ScNbN2O at its relaxed geometry, from OQMD.

Output
The total energy comes out at -9.28 eV per atom. Its symmetry is No. 62.

Cell: 5.5706 7.7313 5.2789 Å, 90.00 90.00 90.00°
Positions (direct):
N 0.1979 0.0773 0.1933
N 0.1979 0.4227 0.1933
N 0.6979 0.0773 0.3067
N 0.6979 0.4227 0.3067
N 0.3021 0.5773 0.6933
N 0.3021 0.9227 0.6933
N 0.8021 0.5773 0.8067
N 0.8021 0.9227 0.8067
Nb 0.5000 0.0000 0.0000
Nb 0.5000 0.5000 0.0000
Nb 0.0000 0.0000 0.5000
Nb 0.0000 0.5000 0.5000
O 0.4425 0.7500 0.1489
O 0.9425 0.7500 0.3511
O 0.0575 0.2500 0.6489
O 0.5575 0.2500 0.8511
Sc 0.9318 0.2500 0.0334
Sc 0.4318 0.2500 0.4666
Sc 0.5682 0.7500 0.5334
Sc 0.0682 0.7500 0.9666

The following is a PBE calculation of crystalline ZnGe at its relaxed geometry, from OQMD.

Output
The total energy comes out at -2.73 eV per atom. Its symmetry is No. 6.

Cell: 4.6925 8.0341 4.8865 Å, 90.00 90.00 72.09°
Positions (direct):
Ge 0.8183 0.3817 0.0000
Ge 0.1893 0.5996 0.0000
Ge 0.5960 0.8194 0.0000
Ge 0.4729 0.3878 0.5000
Ge 0.2611 0.8115 0.5000
Zn 0.9905 0.0127 0.0000
Zn 0.4042 0.1878 0.0000
Zn 0.6661 0.0108 0.5000
Zn 0.0772 0.1888 0.5000
Zn 0.8575 0.5999 0.5000